[1]
DFT (GGA-PBE) results for crystalline Pm6YTm12 at its relaxed geometry.

Properties
Calculated total energy: -4.54 eV per atom
M_tot: 0.000 μB/f.u.
Mass density: 8.2 Mg/m³
DOS(E_F): 86.206 states/eV per cell
DFT formation energy: 2.9 kcal/mol of atoms

Cell lengths 11.0097, 11.0097, 17.3457 Å; angles 90.00, 90.00, 120.00 degrees
Space group R-3m (No. 166, hexagonal axes)
Symmetry-distinct sites (fractional):
Pm 0.0678 0.5339 0.2673 x18
Y 0.0000 0.0000 0.5000 x3
Tm 0.1016 0.5508 0.9139 x18
Tm 0.1059 0.2118 0.9073 x18

=====

[2]
DFT (GGA-PBE) results for crystalline TmTc2HgO8 at its relaxed geometry.

Properties
Calculated total energy: -7.15 eV per atom
ΔE_f (raw): -1.722 eV/atom
M_tot: 0.000 μB/f.u.
Mass density: 4.3 Mg/m³
DOS(E_F): 5.603 states/eV per cell

Cell lengths 6.1048, 6.1048, 8.2873 Å; angles 90.00, 90.00, 120.00 degrees
Space group P-3m1 (No. 164)
Symmetry-distinct sites (fractional):
Tm 0.0000 0.0000 0.0000 x1
Tc 0.3333 0.6667 0.2189 x2
Hg 0.0000 0.0000 0.5000 x1
O 0.1753 0.3507 0.1458 x6
O 0.3333 0.6667 0.4258 x2

=====

[3]
DFT (GGA-PBE) results for crystalline Pm10Nd4Pu at its relaxed geometry.

Properties
Calculated total energy: -5.15 eV per atom
M_tot: 6.353 μB/f.u.
Mass density: 7.2 Mg/m³
DOS(E_F): 51.552 states/eV per cell
DFT formation energy: 5.6 kcal/mol of atoms

Cell lengths 11.572, 11.572, 7.836 Å; angles 90.00, 90.00, 90.00 degrees
Space group I4/mmm (No. 139)
Symmetry-distinct sites (fractional):
Pm 0.000 0.209 0.216 x16
Pm 0.000 0.500 0.250 x4
Nd 0.230 0.230 0.500 x8
Pu 0.000 0.000 0.500 x2

=====

[4]
DFT (GGA-PBE) results for crystalline ScRuCl at its relaxed geometry.

Properties
Calculated total energy: -6.18 eV per atom
ΔE_f (raw): -0.358 eV/atom
M_tot: 0.616 μB/f.u.
Mass density: 5.1 Mg/m³
DOS(E_F): 5.506 states/eV per cell

Cell lengths 3.010, 3.010, 12.925 Å; angles 90.00, 90.00, 90.00 degrees
Space group I4mm (No. 107)
Symmetry-distinct sites (fractional):
Sc 0.000 0.000 0.000 x2
Ru 0.000 0.000 0.637 x2
Cl 0.000 0.000 0.366 x2

=====

What is the DOS(E_F) in the first record?
86.206 states/eV per cell

=====

Which formula does entry 2 have?
TmTc2HgO8

=====

Among the records above, which one has the lowest calculated total energy?
TmTc2HgO8